5
Lattice="4.798 0.000 0.000 0.000 4.798 0.000 0.000 0.000 4.798" Properties=species:S:1:pos:R:3 comment="ScNbW3 | Alexandria via LeMat-Bulk | GGA-PBE | optimized geometry" e_above_lowest_polymorph_mev_per_atom=0 formation_energy_ev_per_atom=1.8250 dos_ef_per_ev_fu=9.04 space_group="Pm-3m, No. 221" total_energy_ev_per_fu=-46.14 pbc="T T T"
Sc 2.399 2.399 2.399
Nb 0.000 0.000 0.000
W 0.000 2.399 0.000
W 0.000 0.000 2.399
W 2.399 0.000 0.000

=====

20
Lattice="9.153 -1.906 -1.978 0.816 8.605 -1.969 0.816 -2.287 8.526" Properties=species:S:1:pos:R:3 comment="NdSm6ErTm2 | Alexandria via LeMat-Bulk | GGA-PBE | optimized geometry" formation_energy_ev_per_atom=0.1175 dos_ef_per_ev_fu=14.48 space_group="C2/c, No. 15" total_energy_ev_per_fu=-45.41 pbc="T T T"
Nd 3.104 7.807 -2.154
Nd 7.681 -3.395 6.732
Sm 1.220 -0.837 6.129
Sm 4.989 -0.791 6.176
Sm 9.566 5.248 -1.550
Sm 5.796 5.202 -1.598
Sm 4.060 6.917 1.179
Sm 2.149 4.443 -1.389
Sm 6.726 -2.506 3.400
Sm 8.636 -0.032 5.967
Sm 2.046 4.749 2.516
Sm 4.163 3.027 0.729
Sm 8.739 -0.337 2.063
Sm 6.623 1.385 3.849
Er 3.104 1.713 3.718
Er 7.681 2.699 0.860
Tm 5.352 4.403 3.482
Tm 0.857 2.048 1.039
Tm 5.434 0.009 1.096
Tm 9.928 2.363 3.540